# PBEsol Hf2MgGaN, optimized geometry
# Total energy (eV per atom): -5.7930
data_Hf2MgGaN
_chemical_formula_sum 'Hf2 Mg1 Ga1 N1'
_space_group_name_H-M_alt 'P 4/m m m'
_space_group_IT_number 123
_space_group_name_Hall '-P 4 2'
_cell_length_a 5.152
_cell_length_b 5.152
_cell_length_c 3.559
_cell_angle_alpha 90.00
_cell_angle_beta 90.00
_cell_angle_gamma 90.00
loop_
_atom_site_label
_atom_site_type_symbol
_atom_site_fract_x
_atom_site_fract_y
_atom_site_fract_z
_atom_site_occupancy
Hf1 Hf 0.000 0.500 0.000 1
Mg1 Mg 0.000 0.000 0.000 1
Ga1 Ga 0.500 0.500 0.500 1
N1 N 0.000 0.000 0.500 1

# PBEsol HfMg2GaOs, optimized geometry
# Formation energy (eV/atom): 0.7445
data_HfMg2GaOs
_chemical_formula_sum 'Hf1 Mg2 Ga1 Os1'
_space_group_name_H-M_alt 'P 4/m m m'
_space_group_IT_number 123
_space_group_name_Hall '-P 4 2'
_cell_length_a 4.581
_cell_length_b 4.581
_cell_length_c 4.661
_cell_angle_alpha 90.00
_cell_angle_beta 90.00
_cell_angle_gamma 90.00
loop_
_atom_site_label
_atom_site_type_symbol
_atom_site_fract_x
_atom_site_fract_y
_atom_site_fract_z
_atom_site_occupancy
Hf1 Hf 0.000 0.000 0.000 1
Mg1 Mg 0.000 0.500 0.500 1
Ga1 Ga 0.500 0.500 0.500 1
Os1 Os 0.500 0.500 0.000 1

# PBEsol Hf3MnGa, optimized geometry
# Formation energy (eV/atom): 0.3592
data_Hf3MnGa
_chemical_formula_sum 'Hf3 Mn1 Ga1'
_space_group_name_H-M_alt 'P m -3 m'
_space_group_IT_number 221
_space_group_name_Hall '-P 4 2 3'
_cell_length_a 4.678
_cell_length_b 4.678
_cell_length_c 4.678
_cell_angle_alpha 90.00
_cell_angle_beta 90.00
_cell_angle_gamma 90.00
loop_
_atom_site_label
_atom_site_type_symbol
_atom_site_fract_x
_atom_site_fract_y
_atom_site_fract_z
_atom_site_occupancy
Hf1 Hf 0.000 0.000 0.500 1
Mn1 Mn 0.000 0.000 0.000 1
Ga1 Ga 0.500 0.500 0.500 1

# PBEsol HfZr2MnGa, optimized geometry
# Formation energy (eV/atom): 0.6737
data_HfZr2MnGa
_chemical_formula_sum 'Hf1 Zr2 Mn1 Ga1'
_space_group_name_H-M_alt 'P 4/m m m'
_space_group_IT_number 123
_space_group_name_Hall '-P 4 2'
_cell_length_a 4.982
_cell_length_b 4.982
_cell_length_c 4.384
_cell_angle_alpha 90.00
_cell_angle_beta 90.00
_cell_angle_gamma 90.00
loop_
_atom_site_label
_atom_site_type_symbol
_atom_site_fract_x
_atom_site_fract_y
_atom_site_fract_z
_atom_site_occupancy
Hf1 Hf 0.000 0.000 0.000 1
Zr1 Zr 0.000 0.500 0.500 1
Mn1 Mn 0.500 0.500 0.000 1
Ga1 Ga 0.500 0.500 0.500 1

# PBEsol Hf2Ga2Mo, optimized geometry
# Formation energy (eV/atom): -0.4414
data_Hf2Ga2Mo
_chemical_formula_sum 'Hf4 Ga4 Mo2'
_space_group_name_H-M_alt 'P 4/m b m'
_space_group_IT_number 127
_space_group_name_Hall '-P 4 2ab'
_cell_length_a 6.865
_cell_length_b 6.865
_cell_length_c 3.638
_cell_angle_alpha 90.00
_cell_angle_beta 90.00
_cell_angle_gamma 90.00
loop_
_atom_site_label
_atom_site_type_symbol
_atom_site_fract_x
_atom_site_fract_y
_atom_site_fract_z
_atom_site_occupancy
Hf1 Hf 0.178 0.322 0.000 1
Ga1 Ga 0.126 0.626 0.500 1
Mo1 Mo 0.000 0.000 0.500 1

# PBEsol HfGa2Mo2, optimized geometry
# Formation energy (eV/atom): -0.2712
data_HfGa2Mo2
_chemical_formula_sum 'Hf2 Ga4 Mo4'
_space_group_name_H-M_alt 'P 4/m b m'
_space_group_IT_number 127
_space_group_name_Hall '-P 4 2ab'
_cell_length_a 6.842
_cell_length_b 6.842
_cell_length_c 3.384
_cell_angle_alpha 90.00
_cell_angle_beta 90.00
_cell_angle_gamma 90.00
loop_
_atom_site_label
_atom_site_type_symbol
_atom_site_fract_x
_atom_site_fract_y
_atom_site_fract_z
_atom_site_occupancy
Hf1 Hf 0.000 0.000 0.000 1
Ga1 Ga 0.126 0.374 0.000 1
Mo1 Mo 0.173 0.673 0.500 1

# PBEsol HfGaMo2S, optimized geometry
# Total energy (eV per atom): -6.4679
data_HfGaMo2S
_chemical_formula_sum 'Hf1 Ga1 Mo2 S1'
_space_group_name_H-M_alt 'P 4/m m m'
_space_group_IT_number 123
_space_group_name_Hall '-P 4 2'
_cell_length_a 4.774
_cell_length_b 4.774
_cell_length_c 4.959
_cell_angle_alpha 90.00
_cell_angle_beta 90.00
_cell_angle_gamma 90.00
loop_
_atom_site_label
_atom_site_type_symbol
_atom_site_fract_x
_atom_site_fract_y
_atom_site_fract_z
_atom_site_occupancy
Hf1 Hf 0.000 0.000 0.000 1
Ga1 Ga 0.000 0.000 0.500 1
Mo1 Mo 0.000 0.500 0.000 1
S1 S 0.500 0.500 0.500 1

# PBEsol Hf2GaMoW, optimized geometry
# Formation energy (eV/atom): 1.4184
data_Hf2GaMoW
_chemical_formula_sum 'Hf2 Ga1 Mo1 W1'
_space_group_name_H-M_alt 'P 4/m m m'
_space_group_IT_number 123
_space_group_name_Hall '-P 4 2'
_cell_length_a 4.898
_cell_length_b 4.898
_cell_length_c 4.783
_cell_angle_alpha 90.00
_cell_angle_beta 90.00
_cell_angle_gamma 90.00
loop_
_atom_site_label
_atom_site_type_symbol
_atom_site_fract_x
_atom_site_fract_y
_atom_site_fract_z
_atom_site_occupancy
Hf1 Hf 0.000 0.500 0.000 1
Ga1 Ga 0.000 0.000 0.500 1
Mo1 Mo 0.500 0.500 0.500 1
W1 W 0.000 0.000 0.000 1

# PBEsol HfGaTe2N, optimized geometry
# Total energy (eV per atom): -5.9374
data_HfGaTe2N
_chemical_formula_sum 'Hf1 Ga1 Te2 N1'
_space_group_name_H-M_alt 'P 4/m m m'
_space_group_IT_number 123
_space_group_name_Hall '-P 4 2'
_cell_length_a 5.690
_cell_length_b 5.690
_cell_length_c 3.942
_cell_angle_alpha 90.00
_cell_angle_beta 90.00
_cell_angle_gamma 90.00
loop_
_atom_site_label
_atom_site_type_symbol
_atom_site_fract_x
_atom_site_fract_y
_atom_site_fract_z
_atom_site_occupancy
Hf1 Hf 0.000 0.000 0.000 1
Ga1 Ga 0.500 0.500 0.500 1
Te1 Te 0.000 0.500 0.000 1
N1 N 0.000 0.000 0.500 1

# PBEsol Hf2NbGa2, optimized geometry
# Formation energy (eV/atom): -0.4711
data_Hf2NbGa2
_chemical_formula_sum 'Hf4 Nb2 Ga4'
_space_group_name_H-M_alt 'P 4/m b m'
_space_group_IT_number 127
_space_group_name_Hall '-P 4 2ab'
_cell_length_a 7.024
_cell_length_b 7.024
_cell_length_c 3.624
_cell_angle_alpha 90.00
_cell_angle_beta 90.00
_cell_angle_gamma 90.00
loop_
_atom_site_label
_atom_site_type_symbol
_atom_site_fract_x
_atom_site_fract_y
_atom_site_fract_z
_atom_site_occupancy
Hf1 Hf 0.178 0.322 0.000 1
Nb1 Nb 0.000 0.000 0.500 1
Ga1 Ga 0.125 0.625 0.500 1

# PBEsol HfNbGa3, optimized geometry
# Formation energy (eV/atom): 0.6927
data_HfNbGa3
_chemical_formula_sum 'Hf1 Nb1 Ga3'
_space_group_name_H-M_alt 'P m -3 m'
_space_group_IT_number 221
_space_group_name_Hall '-P 4 2 3'
_cell_length_a 4.782
_cell_length_b 4.782
_cell_length_c 4.782
_cell_angle_alpha 90.00
_cell_angle_beta 90.00
_cell_angle_gamma 90.00
loop_
_atom_site_label
_atom_site_type_symbol
_atom_site_fract_x
_atom_site_fract_y
_atom_site_fract_z
_atom_site_occupancy
Hf1 Hf 0.000 0.000 0.000 1
Nb1 Nb 0.500 0.500 0.500 1
Ga1 Ga 0.000 0.500 0.500 1

# PBEsol Hf3Nb2Ga3, optimized geometry
# Formation energy (eV/atom): -0.5024
data_Hf3Nb2Ga3
_chemical_formula_sum 'Hf6 Nb4 Ga6'
_space_group_name_H-M_alt 'P 63/m c m'
_space_group_IT_number 193
_space_group_name_Hall '-P 6c 2'
_cell_length_a 7.8433
_cell_length_b 7.8433
_cell_length_c 5.3943
_cell_angle_alpha 90.00
_cell_angle_beta 90.00
_cell_angle_gamma 120.00
loop_
_atom_site_label
_atom_site_type_symbol
_atom_site_fract_x
_atom_site_fract_y
_atom_site_fract_z
_atom_site_occupancy
Hf1 Hf 0.0000 0.2458 0.2500 1
Nb1 Nb 0.3333 0.6667 0.0000 1
Ga1 Ga 0.0000 0.3965 0.7500 1

# PBEsol HfGa2Ni, optimized geometry
# Formation energy (eV/atom): -0.6058
data_HfGa2Ni
_chemical_formula_sum 'Hf20 Ga40 Ni20'
_space_group_name_H-M_alt 'I 4 m m'
_space_group_IT_number 107
_space_group_name_Hall 'I 4 -2'
_cell_length_a 12.140
_cell_length_b 12.140
_cell_length_c 7.990
_cell_angle_alpha 90.00
_cell_angle_beta 90.00
_cell_angle_gamma 90.00
loop_
_atom_site_label
_atom_site_type_symbol
_atom_site_fract_x
_atom_site_fract_y
_atom_site_fract_z
_atom_site_occupancy
Hf1 Hf 0.000 0.000 0.000 1
Hf2 Hf 0.000 0.000 0.440 1
Hf3 Hf 0.000 0.286 0.380 1
Hf4 Hf 0.203 0.203 0.871 1
Ga1 Ga 0.000 0.159 0.712 1
Ga2 Ga 0.000 0.382 0.859 1
Ga3 Ga 0.133 0.133 0.220 1
Ga4 Ga 0.142 0.352 0.123 1
Ni1 Ni 0.000 0.216 0.023 1
Ni2 Ni 0.000 0.500 0.106 1
Ni3 Ni 0.162 0.162 0.534 1

# PBEsol Hf2Ga2Ni, optimized geometry
# Formation energy (eV/atom): -0.5497
data_Hf2Ga2Ni
_chemical_formula_sum 'Hf4 Ga4 Ni2'
_space_group_name_H-M_alt 'P 4/m b m'
_space_group_IT_number 127
_space_group_name_Hall '-P 4 2ab'
_cell_length_a 6.266
_cell_length_b 6.266
_cell_length_c 4.148
_cell_angle_alpha 90.00
_cell_angle_beta 90.00
_cell_angle_gamma 90.00
loop_
_atom_site_label
_atom_site_type_symbol
_atom_site_fract_x
_atom_site_fract_y
_atom_site_fract_z
_atom_site_occupancy
Hf1 Hf 0.171 0.329 0.000 1
Ga1 Ga 0.140 0.640 0.500 1
Ni1 Ni 0.000 0.000 0.500 1

# PBEsol HfGaSeO2, optimized geometry
# Total energy (eV per atom): -7.0057
data_HfGaSeO2
_chemical_formula_sum 'Hf1 Ga1 Se1 O2'
_space_group_name_H-M_alt 'P 4/m m m'
_space_group_IT_number 123
_space_group_name_Hall '-P 4 2'
_cell_length_a 3.912
_cell_length_b 3.912
_cell_length_c 6.552
_cell_angle_alpha 90.00
_cell_angle_beta 90.00
_cell_angle_gamma 90.00
loop_
_atom_site_label
_atom_site_type_symbol
_atom_site_fract_x
_atom_site_fract_y
_atom_site_fract_z
_atom_site_occupancy
Hf1 Hf 0.000 0.000 0.000 1
Ga1 Ga 0.000 0.000 0.500 1
Se1 Se 0.500 0.500 0.500 1
O1 O 0.000 0.500 0.000 1

# PBEsol Hf2Ga2Os, optimized geometry
# Formation energy (eV/atom): -0.5423
data_Hf2Ga2Os
_chemical_formula_sum 'Hf4 Ga4 Os2'
_space_group_name_H-M_alt 'P 4/m b m'
_space_group_IT_number 127
_space_group_name_Hall '-P 4 2ab'
_cell_length_a 6.654
_cell_length_b 6.654
_cell_length_c 3.725
_cell_angle_alpha 90.00
_cell_angle_beta 90.00
_cell_angle_gamma 90.00
loop_
_atom_site_label
_atom_site_type_symbol
_atom_site_fract_x
_atom_site_fract_y
_atom_site_fract_z
_atom_site_occupancy
Hf1 Hf 0.174 0.326 0.000 1
Ga1 Ga 0.130 0.630 0.500 1
Os1 Os 0.000 0.000 0.500 1

# PBEsol HfTi2GaP, optimized geometry
# Formation energy (eV/atom): -0.0017
data_HfTi2GaP
_chemical_formula_sum 'Hf1 Ti2 Ga1 P1'
_space_group_name_H-M_alt 'P 4/m m m'
_space_group_IT_number 123
_space_group_name_Hall '-P 4 2'
_cell_length_a 4.487
_cell_length_b 4.487
_cell_length_c 4.571
_cell_angle_alpha 90.00
_cell_angle_beta 90.00
_cell_angle_gamma 90.00
loop_
_atom_site_label
_atom_site_type_symbol
_atom_site_fract_x
_atom_site_fract_y
_atom_site_fract_z
_atom_site_occupancy
Hf1 Hf 0.000 0.000 0.000 1
Ti1 Ti 0.000 0.500 0.500 1
Ga1 Ga 0.500 0.500 0.000 1
P1 P 0.500 0.500 0.500 1

# PBEsol HfGa3Pb, optimized geometry
# Formation energy (eV/atom): 0.4784
data_HfGa3Pb
_chemical_formula_sum 'Hf1 Ga3 Pb1'
_space_group_name_H-M_alt 'P m -3 m'
_space_group_IT_number 221
_space_group_name_Hall '-P 4 2 3'
_cell_length_a 5.115
_cell_length_b 5.115
_cell_length_c 5.115
_cell_angle_alpha 90.00
_cell_angle_beta 90.00
_cell_angle_gamma 90.00
loop_
_atom_site_label
_atom_site_type_symbol
_atom_site_fract_x
_atom_site_fract_y
_atom_site_fract_z
_atom_site_occupancy
Hf1 Hf 0.000 0.000 0.000 1
Ga1 Ga 0.000 0.000 0.500 1
Pb1 Pb 0.500 0.500 0.500 1

# PBEsol HfGa2RePb, optimized geometry
# Formation energy (eV/atom): 2.0657
data_HfGa2RePb
_chemical_formula_sum 'Hf1 Ga2 Re1 Pb1'
_space_group_name_H-M_alt 'P 4/m m m'
_space_group_IT_number 123
_space_group_name_Hall '-P 4 2'
_cell_length_a 4.932
_cell_length_b 4.932
_cell_length_c 5.473
_cell_angle_alpha 90.00
_cell_angle_beta 90.00
_cell_angle_gamma 90.00
loop_
_atom_site_label
_atom_site_type_symbol
_atom_site_fract_x
_atom_site_fract_y
_atom_site_fract_z
_atom_site_occupancy
Hf1 Hf 0.000 0.000 0.000 1
Ga1 Ga 0.000 0.500 0.500 1
Re1 Re 0.500 0.500 0.000 1
Pb1 Pb 0.000 0.000 0.500 1

# PBEsol Hf2GaPd2, optimized geometry
# Formation energy (eV/atom): -0.6566
# Relative energy among the computed polymorphs (kcal/mol of atoms): 0.00
data_Hf2GaPd2
_chemical_formula_sum 'Hf4 Ga2 Pd4'
_space_group_name_H-M_alt 'P 4/m b m'
_space_group_IT_number 127
_space_group_name_Hall '-P 4 2ab'
_cell_length_a 7.263
_cell_length_b 7.263
_cell_length_c 3.338
_cell_angle_alpha 90.00
_cell_angle_beta 90.00
_cell_angle_gamma 90.00
loop_
_atom_site_label
_atom_site_type_symbol
_atom_site_fract_x
_atom_site_fract_y
_atom_site_fract_z
_atom_site_occupancy
Hf1 Hf 0.171 0.329 0.000 1
Ga1 Ga 0.000 0.000 0.500 1
Pd1 Pd 0.130 0.630 0.500 1

# PBEsol HfGa2Pd2, optimized geometry
# Formation energy (eV/atom): -0.5267
data_HfGa2Pd2
_chemical_formula_sum 'Hf2 Ga4 Pd4'
_space_group_name_H-M_alt 'I 4/m m m'
_space_group_IT_number 139
_space_group_name_Hall '-I 4 2'
_cell_length_a 3.645
_cell_length_b 3.645
_cell_length_c 12.503
_cell_angle_alpha 90.00
_cell_angle_beta 90.00
_cell_angle_gamma 90.00
loop_
_atom_site_label
_atom_site_type_symbol
_atom_site_fract_x
_atom_site_fract_y
_atom_site_fract_z
_atom_site_occupancy
Hf1 Hf 0.000 0.000 0.000 1
Ga1 Ga 0.000 0.500 0.250 1
Pd1 Pd 0.000 0.000 0.396 1

# PBEsol Hf6Ga16Pd7, optimized geometry
# Formation energy (eV/atom): -0.5889
data_Hf6Ga16Pd7
_chemical_formula_sum 'Hf24 Ga64 Pd28'
_space_group_name_H-M_alt 'F m -3 m'
_space_group_IT_number 225
_space_group_name_Hall '-F 4 2 3'
_cell_length_a 12.278
_cell_length_b 12.278
_cell_length_c 12.278
_cell_angle_alpha 90.00
_cell_angle_beta 90.00
_cell_angle_gamma 90.00
loop_
_atom_site_label
_atom_site_type_symbol
_atom_site_fract_x
_atom_site_fract_y
_atom_site_fract_z
_atom_site_occupancy
Hf1 Hf 0.000 0.000 0.186 1
Ga1 Ga 0.122 0.122 0.378 1
Ga2 Ga 0.160 0.160 0.160 1
Pd1 Pd 0.000 0.000 0.500 1
Pd2 Pd 0.000 0.250 0.250 1